# 1
The following is a GGA-PBE calculation of CeTlF after structural relaxation, from Alexandria.

Values from the calculation:
**E above lowest polymorph**: 290 meV per atom
**E_form (uncorrected)**: -144 kJ per mole of atoms

abc: 3.4375 3.4375 6.6242
angles: 105.04 105.04 90.00
Closest atoms and distances in Å follow each position.
Atoms (fractional coordinates):
Tl: 0.0039 0.0039 0.0079  1 F 3.27, 1 Ce 3.42, 4 Tl 3.44
Ce: 0.7267 0.7267 0.4534  4 F 2.49
F: 0.2694 0.2694 0.5387  4 Ce 2.49

# 2
The following is a GGA-PBE calculation of CeTl3F8 after structural relaxation, from Alexandria.

Values from the calculation:
**E_form (uncorrected)**: -248 kJ per mole of atoms

abc: 6.0216 6.0216 6.0216
angles: 90.00 90.00 90.00
Closest atoms and distances in Å follow each position.
Atoms (fractional coordinates):
Tl: 0.5000 0.0000 0.5000  8 F 2.72
Tl: 0.5000 0.5000 0.0000  8 F 2.72
Tl: 0.0000 0.5000 0.5000  8 F 2.72
Ce: 0.0000 0.0000 0.0000  8 F 2.32
F: 0.2226 0.7774 0.2226  1 Ce 2.32
F: 0.7774 0.7774 0.2226  1 Ce 2.32
F: 0.7774 0.2226 0.2226  1 Ce 2.32
F: 0.2226 0.2226 0.7774  1 Ce 2.32
F: 0.7774 0.7774 0.7774  1 Ce 2.32
F: 0.7774 0.2226 0.7774  1 Ce 2.32
F: 0.2226 0.2226 0.2226  1 Ce 2.32
F: 0.2226 0.7774 0.7774  1 Ce 2.32

# 3
The following is a GGA-PBE calculation of CeTlF2 after structural relaxation, from Alexandria.

Values from the calculation:
**E_form (uncorrected)**: -219 kJ per mole of atoms

abc: 3.5287 3.5287 9.3791
angles: 79.16 79.16 60.00
Closest atoms and distances in Å follow each position.
Atoms (fractional coordinates):
F: 0.8846 0.8846 0.3462  3 Ce 2.48
F: 0.1154 0.1154 0.6538  3 Ce 2.48
Ce: 0.5000 0.5000 0.5000  6 F 2.48
Tl: 0.0000 0.0000 0.0000  2 F 3.17, 6 Tl 3.53

# 4
The following is a GGA-PBE calculation of Ce2TlF7 after structural relaxation, from Alexandria.

Values from the calculation:
**E_form (uncorrected)**: -341 kJ per mole of atoms

abc: 4.6063 7.0550 7.0550
angles: 116.23 90.00 90.00
Closest atoms and distances in Å follow each position.
Atoms (fractional coordinates):
F: 0.5000 0.3333 0.0448  2 Ce 2.39-2.41
F: 0.0000 0.2895 0.7105  2 Ce 2.31
F: 0.5000 0.9552 0.6667  2 Ce 2.39-2.41
F: 0.5000 0.6667 0.9552  2 Ce 2.39-2.41
F: 0.5000 0.0448 0.3333  2 Ce 2.39-2.41
F: 0.5000 0.5000 0.5000  2 Ce 2.31
F: 0.0000 0.7105 0.2895  2 Ce 2.31
Ce: 0.5000 0.6925 0.3075  7 F 2.31-2.41
Ce: 0.5000 0.3075 0.6925  7 F 2.31-2.41
Tl: 0.0000 0.0000 0.0000  10 F 3.21-3.47